(1)
Na2CeCd9 | the Alexandria database | PBE | optimized geometry; DFT formation energy = -1.2 eV/f.u.; DFT total energy = -18.02 eV per cell; magnetic moment = 0.12 μB per atom; symmetry = R-3m, No. 166; D(E_F) = 13.45 states/eV/cell
1.0
0.419 5.388 2.411
-2.716 1.167 5.127
7.212 -0.612 7.377
Ce Cd Na
1 9 2
Cartesian
0.000 0.000 0.000 Ce
-1.502 4.360 5.043 Cd
3.810 0.658 8.700 Cd
5.404 2.803 7.321 Cd
2.457 2.971 7.457 Cd
-0.489 3.139 7.594 Cd
1.105 5.285 6.214 Cd
4.023 3.396 9.926 Cd
6.417 1.583 9.871 Cd
0.892 2.546 4.989 Cd
3.790 0.588 5.290 Na
1.125 5.355 9.625 Na

***

(2)
Ba5Na2Pt | the Alexandria database | PBE | optimized geometry; DFT formation energy = -1.8 eV/f.u.; DFT total energy = -80.45 eV per cell; magnetic moment = 0.00 μB per atom; symmetry = Pnma, No. 62; D(E_F) = 26.93 states/eV/cell
1.0
-7.979 3.503 0.607
-4.500 -10.300 0.288
1.298 -0.077 17.519
Pt Ba Na
4 20 8
Cartesian
-2.764 -1.043 1.117 Pt
-8.417 -5.830 17.297 Pt
-4.500 -6.224 8.197 Pt
-6.681 -0.650 10.216 Pt
0.158 -1.476 10.644 Ba
-5.590 -3.437 9.207 Ba
-1.980 0.273 3.826 Ba
-5.701 -4.898 16.162 Ba
-6.486 0.314 7.209 Ba
-3.990 1.752 0.303 Ba
-1.601 -5.188 8.903 Ba
-9.201 -7.146 14.587 Ba
-9.079 -4.815 2.732 Ba
-5.480 -1.975 2.252 Ba
-2.102 -2.058 15.681 Ba
-11.339 -5.397 7.770 Ba
-7.354 -7.147 7.467 Ba
-9.465 -0.225 2.555 Ba
0.000 0.000 0.000 Ba
-4.695 -7.188 11.205 Ba
-3.827 0.274 10.946 Ba
-4.123 -4.884 5.413 Ba
-7.058 -1.990 13.000 Ba
-1.716 -6.648 15.859 Ba
-8.789 -5.585 10.990 Na
-5.965 2.080 3.872 Na
-6.119 -0.460 16.511 Na
-8.070 -3.078 5.971 Na
-5.062 -6.413 1.903 Na
-3.111 -3.795 12.443 Na
-5.216 -8.953 14.541 Na
-2.392 -1.288 7.423 Na

***

(3)
FeSb2Pb | the Alexandria database | PBE | optimized geometry; DFT total energy = -37.95 eV per cell; magnetic moment = 0.00 μB per atom; symmetry = I-42d, No. 122; D(E_F) = 8.24 states/eV/cell; formation energy (no corrections) = 360 meV per atom
1.0
6.325 0.000 0.000
0.000 6.325 0.000
3.163 3.163 6.167
Fe Pb Sb
2 2 4
Cartesian
3.163 6.325 3.083 Fe
3.163 3.163 0.000 Fe
6.325 3.163 3.083 Pb
0.000 0.000 0.000 Pb
2.131 4.744 1.542 Sb
4.744 5.294 4.625 Sb
7.907 7.357 4.625 Sb
4.194 1.581 1.542 Sb

***

(4)
MgNiSnSe | the Alexandria database | PBE | optimized geometry; DFT total energy = -32.23 eV per cell; magnetic moment = 0.00 μB per atom; symmetry = Amm2, No. 38; D(E_F) = 2.80 states/eV/cell; formation energy (no corrections) = -313 meV per atom
1.0
-0.577 -3.652 -1.796
3.391 -1.773 2.516
-6.055 -2.269 6.562
Se Sn Mg Ni
2 2 2 2
Cartesian
-3.151 -1.181 3.414 Se
1.573 -0.933 1.392 Se
-1.867 -2.418 0.812 Sn
-3.199 -4.439 5.352 Sn
-5.166 -1.936 5.598 Mg
-0.443 -1.688 3.576 Mg
-4.318 -3.336 3.469 Ni
0.405 -3.088 1.447 Ni

***

(5)
BeV3Re | the Alexandria database | PBE | optimized geometry; DFT formation energy = 3.4 eV/f.u.; DFT total energy = -40.17 eV per cell; magnetic moment = 0.15 μB per atom; symmetry = Pm-3m, No. 221; D(E_F) = 8.23 states/eV/cell
1.0
-2.422 0.194 -3.263
-2.837 -2.142 1.979
-1.624 3.454 1.410
V Re Be
3 1 1
Cartesian
-1.211 0.097 -1.632 V
-0.812 1.727 0.705 V
-1.419 -1.071 0.989 V
-3.441 0.753 0.062 Re
0.000 0.000 0.000 Be

***

(6)
CaHfAu2N | the Alexandria database | PBE | optimized geometry; DFT total energy = -27.83 eV per cell; magnetic moment = 0.00 μB per atom; symmetry = P4/mmm, No. 123; D(E_F) = 2.61 states/eV/cell; formation energy (no corrections) = -199 meV per atom
1.0
4.932 0.000 0.000
0.000 4.109 0.000
0.000 0.000 4.932
Au Hf Ca N
2 1 1 1
Cartesian
2.466 0.000 0.000 Au
0.000 0.000 2.466 Au
0.000 2.054 0.000 Hf
2.466 2.054 2.466 Ca
0.000 0.000 0.000 N

***

(7)
SrTcCl2 | the Alexandria database | PBE | optimized geometry; DFT total energy = -17.07 eV per cell; magnetic moment = 0.81 μB per atom; symmetry = R-3m, No. 166; D(E_F) = 4.13 states/eV/cell; formation energy (no corrections) = -332 meV per atom
1.0
-4.381 2.653 7.194
-1.478 5.277 6.925
-4.731 5.724 4.779
Cl Sr Tc
2 1 1
Cartesian
-1.016 1.310 1.813 Cl
-9.575 12.344 17.085 Cl
-5.295 6.827 9.449 Sr
0.000 0.000 0.000 Tc

***

(8)
TaCr3Si | the Alexandria database | PBE | optimized geometry; DFT total energy = -42.14 eV per cell; magnetic moment = 0.80 μB per atom; symmetry = Pm-3m, No. 221; D(E_F) = 3.48 states/eV/cell; formation energy (no corrections) = 802 meV per atom
1.0
-4.138 -0.823 0.565
0.952 -2.529 3.289
-0.300 3.324 2.642
Si Ta Cr
1 1 3
Cartesian
0.000 0.000 0.000 Si
-1.743 -0.014 3.249 Ta
0.476 -1.264 1.645 Cr
-2.069 -0.412 0.283 Cr
-0.150 1.662 1.321 Cr

***

(9)
LiRe2P | the Alexandria database | PBE | optimized geometry; DFT formation energy = 1.3 eV/f.u.; DFT total energy = -61.91 eV per cell; magnetic moment = 0.00 μB per atom; symmetry = I-42d, No. 122; D(E_F) = 3.46 states/eV/cell
1.0
-2.572 -6.855 -1.494
6.807 -2.052 -2.300
2.629 -5.101 0.195
Re P Li
4 2 2
Cartesian
2.998 -6.997 -1.087 Re
4.802 -2.849 -1.452 Re
6.239 -11.789 -3.363 Re
-0.311 -6.382 -1.296 Re
0.000 0.000 0.000 P
1.088 -8.205 -1.598 P
5.777 -5.804 -2.001 Li
2.118 -4.454 -1.897 Li

***

(10)
KLiMgH4 | the Alexandria database | PBE | optimized geometry; DFT total energy = -39.08 eV per cell; magnetic moment = 0.00 μB per atom; symmetry = P2_1/m, No. 11; D(E_F) = 0.00 states/eV/cell
1.0
5.467 0.000 0.120
0.000 5.519 0.000
-1.989 0.000 6.750
H K Mg Li
8 2 2 2
Cartesian
1.767 1.380 6.106 H
1.574 1.380 2.980 H
1.904 4.139 3.890 H
3.977 2.656 4.710 H
-0.499 5.416 2.160 H
-0.499 2.862 2.160 H
3.977 0.103 4.710 H
1.710 4.139 0.764 H
2.189 4.139 6.628 K
1.288 1.380 0.242 K
2.600 1.380 4.480 Mg
0.877 4.139 2.390 Mg
3.769 4.139 3.602 Li
-0.291 1.380 3.268 Li

***

(11)
La2SmY3As6 | the Alexandria database | PBE | optimized geometry; DFT formation energy = -18.6 eV/f.u.; DFT total energy = -80.45 eV per cell; magnetic moment = 0.00 μB per atom; symmetry = C2/m, No. 12; D(E_F) = 1.67 states/eV/cell
1.0
-3.507 1.992 1.267
-4.638 -4.993 -4.988
2.000 -5.619 7.319
As Y Sm La
6 3 1 2
Cartesian
-4.126 -7.694 0.675 As
-1.734 -5.153 3.304 As
-4.412 -3.467 0.293 As
-3.470 -3.767 -3.684 As
-2.675 -4.854 7.281 As
-2.019 -0.926 2.922 As
-4.073 -1.501 -1.861 Y
-2.359 -2.914 5.106 Y
-3.786 -5.706 -1.509 Y
-1.754 0.996 0.633 Sm
-4.688 -5.431 2.617 La
-1.457 -3.189 0.981 La

***

(12)
LaSbSCl2 | the Alexandria database | PBE | optimized geometry; DFT total energy = -21.85 eV per cell; magnetic moment = 0.40 μB per atom; symmetry = P4/mmm, No. 123; D(E_F) = 1.06 states/eV/cell; formation energy (no corrections) = -995 meV per atom
1.0
-1.272 2.594 4.665
-4.602 -2.962 0.392
2.822 -3.989 2.987
Cl Sb S La
2 1 1 1
Cartesian
-0.636 1.297 2.333 Cl
-2.301 -1.481 0.196 Cl
-1.526 -2.179 4.022 Sb
1.411 -1.995 1.494 S
0.000 0.000 0.000 La